1.
Rb3MnOs2O9, relaxed, DFT PBE+U; final energy = -6.26 eV/atom; total moment = 0.45 μB/f.u.; density = 6.91 g cm⁻³
1.0
5.714 0.000 0.000
-2.857 4.949 0.000
0.000 0.000 7.100
Rb Mn Os O
3 1 2 9
Cartesian
0.000 0.000 0.000 Rb
0.000 3.299 4.676 Rb
2.857 1.650 2.424 Rb
0.000 0.000 3.550 Mn
0.000 3.299 1.162 Os
2.857 1.650 5.937 Os
-1.429 2.474 0.000 O
0.000 1.747 2.213 O
-1.344 4.075 2.213 O
1.513 0.873 4.887 O
2.857 0.000 0.000 O
1.429 2.474 0.000 O
1.344 4.075 2.213 O
4.202 0.873 4.887 O
2.857 3.202 4.887 O

---

2.
YMnCo2O, relaxed, DFT PBE+U; final energy = -5.58 eV/atom; total moment = 6.69 μB/f.u.; density = 5.34 g cm⁻³
1.0
4.771 0.000 0.000
0.000 4.771 0.000
0.000 0.000 3.795
Y Mn Co O
1 1 2 1
Cartesian
0.000 0.000 0.000 Y
2.385 2.385 1.898 Mn
0.000 2.385 1.898 Co
2.385 0.000 1.898 Co
2.385 2.385 0.000 O